VASP calculation (PBE-GGA) on NiSbMo4 after structural relaxation.

Values from the calculation:
Calculated total energy in eV per atom: -8.309
Total magnetization in μB/f.u.: 0.00
Density of states at the Fermi level in states/eV/f.u.: 6.938

a = 7.4308 Å, b = 7.4308 Å, c = 7.4308 Å
α = 90.00°, β = 90.00°, γ = 90.00°
With the nearest neighbours (Å) after each atom.
Space group F-43m (No. 216)
One atom of each set of equivalent atoms:
Ni  0.0000  0.0000  0.0000 x4  12 Mo 3.08, 4 Sb 3.22
Sb  0.2500  0.2500  0.2500 x4  12 Mo 3.08, 4 Ni 3.22
Mo  0.1263  0.1263  0.6263 x16  6 Mo 2.60-2.66

***

VASP calculation (PBE-GGA) on Ca4Ag3Pb after structural relaxation.

Values from the calculation:
Relative energy among the computed polymorphs in meV per atom: 31
Calculated total energy in eV per atom: -2.898
ΔH_f (0 K) in eV per atom: -0.3646
Total magnetization in μB/f.u.: 0.00
Density of states at the Fermi level in states/eV/f.u.: 3.698

a = 3.9364 Å, b = 4.9001 Å, c = 11.6483 Å
α = 90.00°, β = 90.00°, γ = 90.00°
With the nearest neighbours (Å) after each atom.
Space group Pmm2 (No. 25)
One atom of each set of equivalent atoms:
Ca  0.0000  0.0000  0.0000 x1  6 Ag 3.13-3.23, 1 Pb 3.31
Ca  0.0000  0.5000  0.2756 x1  7 Ag 3.17-3.24
Ca  0.5000  0.0000  0.4833 x1  5 Ag 3.20-3.24, 2 Pb 3.34
Ca  0.5000  0.5000  0.7816 x1  4 Pb 3.24, 3 Ag 3.27-3.33
Ag  0.0000  0.5000  0.5512 x1  2 Pb 3.11, 7 Ca 3.21-3.33
Ag  0.5000  0.0000  0.2088 x1  2 Ag 2.98, 7 Ca 3.13-3.24
Ag  0.5000  0.5000  0.0625 x1  2 Ag 2.98, 7 Ca 3.17-3.27
Pb  0.0000  0.0000  0.7154 x1  2 Ag 3.11, 7 Ca 3.24-3.34

***

VASP calculation (PBE-GGA) on PrZn3Cd after structural relaxation.

Values from the calculation:
Calculated total energy in eV per atom: -2.179
ΔH_f (0 K) in eV per atom: -0.2761
Total magnetization in μB/f.u.: 0.00
Density of states at the Fermi level in states/eV/f.u.: 3.361

a = 6.5207 Å, b = 10.5386 Å, c = 6.0926 Å
α = 90.00°, β = 90.00°, γ = 90.00°
With the nearest neighbours (Å) after each atom.
Space group Cmcm (No. 63)
One atom of each set of equivalent atoms:
Pr  0.0000  0.2331  0.2500 x4  12 Zn 3.28-3.50, 3 Cd 3.35-3.51
Zn  0.0000  0.3484  0.7500 x4  4 Zn 2.55, 1 Cd 2.61
Zn  0.1969  0.5000  0.0000 x8  3 Zn 2.55-2.57, 2 Cd 2.71
Cd  0.0000  0.1003  0.7500 x4  5 Zn 2.61-2.71

***

Q: The highest density of states at the Fermi level belongs to which entry?
A: NiSbMo4